[1]
# LiCrFe (PBE, relaxed)
data_LiCrFe
_chemical_formula_sum 'Li2 Cr2 Fe2'
_cell_length_a 2.885
_cell_length_b 2.885
_cell_length_c 8.775
_cell_angle_alpha 90.00
_cell_angle_beta 90.00
_cell_angle_gamma 90.00
_space_group_name_H-M_alt 'I 4 m m'
_space_group_IT_number 107
_space_group_name_Hall 'I 4 -2'
loop_
_atom_site_label
_atom_site_type_symbol
_atom_site_fract_x
_atom_site_fract_y
_atom_site_fract_z
_atom_site_occupancy
Li1 Li 0.000 0.000 0.000 1
Cr1 Cr 0.000 0.000 0.694 1
Fe1 Fe 0.000 0.000 0.322 1
# E in eV per atom: -6.29
# ρ in Mg/m³: 5.22
# DOS(E_F) in states/eV/atom: 0.641
# Crystal system: tetragonal

=====

[2]
# PrY2Nb (PBE, relaxed)
data_PrY2Nb
_chemical_formula_sum 'Pr3 Y6 Nb3'
_cell_length_a 3.3442
_cell_length_b 3.3442
_cell_length_c 35.5448
_cell_angle_alpha 90.00
_cell_angle_beta 90.00
_cell_angle_gamma 120.00
_space_group_name_H-M_alt 'R -3 m'
_space_group_IT_number 166
_space_group_name_Hall '-R 3 2"'
loop_
_atom_site_label
_atom_site_type_symbol
_atom_site_fract_x
_atom_site_fract_y
_atom_site_fract_z
_atom_site_occupancy
Pr1 Pr 0.0000 0.0000 0.0000 1
Y1 Y 0.0000 0.0000 0.4186 1
Nb1 Nb 0.0000 0.0000 0.5000 1
# E in eV per atom: -6.36
# ρ in Mg/m³: 5.96
# DOS(E_F) in states/eV/atom: 1.570
# Crystal system: trigonal

=====

[3]
# Pr2HfN2O2 (PBE, relaxed)
data_Pr2HfN2O2
_chemical_formula_sum 'Pr4 Hf2 N4 O4'
_cell_length_a 4.226
_cell_length_b 4.226
_cell_length_c 12.156
_cell_angle_alpha 90.00
_cell_angle_beta 90.00
_cell_angle_gamma 90.00
_space_group_name_H-M_alt 'I 4/m m m'
_space_group_IT_number 139
_space_group_name_Hall '-I 4 2'
loop_
_atom_site_label
_atom_site_type_symbol
_atom_site_fract_x
_atom_site_fract_y
_atom_site_fract_z
_atom_site_occupancy
Pr1 Pr 0.000 0.000 0.134 1
Hf1 Hf 0.000 0.000 0.500 1
N1 N 0.000 0.500 0.000 1
O1 O 0.000 0.000 0.322 1
# E in eV per atom: -8.86
# ρ in Mg/m³: 7.96
# Formation energy (no corrections) in eV per formula unit: -15.9
# Crystal system: tetragonal

=====

[4]
# YAgPb2 (PBE, relaxed)
data_YAgPb2
_chemical_formula_sum 'Y1 Ag1 Pb2'
_cell_length_a 3.508
_cell_length_b 4.754
_cell_length_c 6.513
_cell_angle_alpha 90.00
_cell_angle_beta 95.50
_cell_angle_gamma 90.00
_space_group_name_H-M_alt 'P 1 2/m 1'
_space_group_IT_number 10
loop_
_space_group_symop_operation_xyz
'x,y,z'
'-x,-y,-z'
'-x,y,-z'
'x,-y,z'
loop_
_atom_site_label
_atom_site_type_symbol
_atom_site_fract_x
_atom_site_fract_y
_atom_site_fract_z
_atom_site_occupancy
Y1 Y 0.000 0.000 0.000 1
Ag1 Ag 0.500 0.000 0.500 1
Pb1 Pb 0.393 0.500 0.752 1
# E in eV per atom: -4.35
# ρ in Mg/m³: 9.39
# DOS(E_F) in states/eV/atom: 0.659
# Crystal system: monoclinic

=====

[5]
# ErPaRh2 (PBE, relaxed)
data_ErPaRh2
_chemical_formula_sum 'Er4 Pa4 Rh8'
_cell_length_a 6.867
_cell_length_b 6.867
_cell_length_c 6.867
_cell_angle_alpha 90.00
_cell_angle_beta 90.00
_cell_angle_gamma 90.00
_space_group_name_H-M_alt 'F m -3 m'
_space_group_IT_number 225
_space_group_name_Hall '-F 4 2 3'
loop_
_atom_site_label
_atom_site_type_symbol
_atom_site_fract_x
_atom_site_fract_y
_atom_site_fract_z
_atom_site_occupancy
Er1 Er 0.000 0.000 0.000 1
Pa1 Pa 0.000 0.000 0.500 1
Rh1 Rh 0.250 0.250 0.250 1
# E in eV per atom: -7.90
# ρ in Mg/m³: 12.39
# DOS(E_F) in states/eV/atom: 1.547
# Crystal system: cubic

=====

[6]
# K2ErScSe4 (PBE, relaxed)
data_K2ErScSe4
_chemical_formula_sum 'K2 Er1 Sc1 Se4'
_cell_length_a 7.097
_cell_length_b 4.100
_cell_length_c 8.004
_cell_angle_alpha 90.00
_cell_angle_beta 107.18
_cell_angle_gamma 90.00
_space_group_name_H-M_alt 'P 1 2/m 1'
_space_group_IT_number 10
loop_
_space_group_symop_operation_xyz
'x,y,z'
'-x,-y,-z'
'-x,y,-z'
'x,-y,z'
loop_
_atom_site_label
_atom_site_type_symbol
_atom_site_fract_x
_atom_site_fract_y
_atom_site_fract_z
_atom_site_occupancy
K1 K 0.000 0.000 0.000 1
K2 K 0.500 0.500 0.000 1
Er1 Er 0.000 0.500 0.500 1
Sc1 Sc 0.500 0.000 0.500 1
Se1 Se 0.243 0.000 0.702 1
Se2 Se 0.276 0.500 0.303 1
# E in eV per atom: -5.06
# ρ in Mg/m³: 4.52
# Formation energy (no corrections) in eV per formula unit: -13.5
# DOS(E_F) in states/eV/atom: 0.000
# Crystal system: monoclinic

=====

[7]
# Mg3GaPd (PBE, relaxed)
data_Mg3GaPd
_chemical_formula_sum 'Mg6 Ga2 Pd2'
_cell_length_a 5.579
_cell_length_b 4.473
_cell_length_c 8.034
_cell_angle_alpha 90.00
_cell_angle_beta 109.85
_cell_angle_gamma 90.00
_space_group_name_H-M_alt 'P 1 m 1'
_space_group_IT_number 6
loop_
_space_group_symop_operation_xyz
'x,y,z'
'x,-y,z'
loop_
_atom_site_label
_atom_site_type_symbol
_atom_site_fract_x
_atom_site_fract_y
_atom_site_fract_z
_atom_site_occupancy
Mg1 Mg 0.000 0.000 0.000 1
Mg2 Mg 0.033 0.500 0.278 1
Mg3 Mg 0.371 0.000 0.470 1
Mg4 Mg 0.610 0.000 0.187 1
Mg5 Mg 0.725 0.500 0.744 1
Mg6 Mg 0.916 0.000 0.562 1
Ga1 Ga 0.309 0.500 0.008 1
Ga2 Ga 0.432 0.000 0.827 1
Pd1 Pd 0.207 0.500 0.649 1
Pd2 Pd 0.603 0.500 0.381 1
# E in eV per atom: -2.94
# ρ in Mg/m³: 4.39
# DOS(E_F) in states/eV/atom: 0.268
# Crystal system: monoclinic

=====

[8]
# Dy2NbCd (PBE, relaxed)
data_Dy2NbCd
_chemical_formula_sum 'Dy6 Nb3 Cd3'
_cell_length_a 3.1787
_cell_length_b 3.1787
_cell_length_c 34.6258
_cell_angle_alpha 90.00
_cell_angle_beta 90.00
_cell_angle_gamma 120.00
_space_group_name_H-M_alt 'R -3 m'
_space_group_IT_number 166
_space_group_name_Hall '-R 3 2"'
loop_
_atom_site_label
_atom_site_type_symbol
_atom_site_fract_x
_atom_site_fract_y
_atom_site_fract_z
_atom_site_occupancy
Dy1 Dy 0.0000 0.0000 0.0854 1
Nb1 Nb 0.0000 0.0000 0.0000 1
Cd1 Cd 0.0000 0.0000 0.5000 1
# E in eV per atom: -4.58
# ρ in Mg/m³: 8.72
# DOS(E_F) in states/eV/atom: 1.370
# Crystal system: trigonal